w | The following is a DFT calculation (PBE with a Hubbard U) of an optimized crystal structure of Ni2RhO2.

## Properties
Fermi-level density of states	3.64	states/eV/cell

Lattice parameters (Å, degrees): 4.871 4.871 4.871 133.07 133.07 68.54
Sites, in units of the cell vectors:
Ni 0.177 0.177 0.000
Ni 0.823 0.823 0.000
Rh 0.500 0.500 0.000
O 0.250 0.750 0.500
O 0.750 0.250 0.500

***

x | The following is a DFT calculation (PBE with a Hubbard U) of an optimized crystal structure of Ni2RhO2.

## Properties
Fermi-level density of states	3.88	states/eV/cell

Lattice parameters (Å, degrees): 6.485 6.485 2.717 90.00 90.00 90.00
Sites, in units of the cell vectors:
Ni 0.157 0.343 0.000
Ni 0.343 0.843 0.000
Ni 0.657 0.157 0.000
Ni 0.843 0.657 0.000
Rh 0.000 0.000 0.000
Rh 0.500 0.500 0.000
O 0.173 0.673 0.500
O 0.327 0.173 0.500
O 0.673 0.827 0.500
O 0.827 0.327 0.500

***

Most stable to least stable, the ends of the list are w and x.

***

w | The following is a DFT calculation (PBE with a Hubbard U) of an optimized crystal structure of Ni3RuO.

## Properties
Fermi-level density of states	6.42	states/eV/cell

Lattice parameters (Å, degrees): 3.910 3.910 3.910 90.00 90.00 90.00
Sites, in units of the cell vectors:
Ni 0.000 0.000 0.500
Ni 0.000 0.500 0.000
Ni 0.500 0.000 0.000
Ru 0.500 0.500 0.500
O 0.000 0.000 0.000

***

x | The following is a DFT calculation (PBE with a Hubbard U) of an optimized crystal structure of Ni3RuO.

## Properties
Fermi-level density of states	3.30	states/eV/cell

Lattice parameters (Å, degrees): 4.638 4.638 4.638 90.00 90.00 90.00
Sites, in units of the cell vectors:
Ni 0.000 0.000 0.500
Ni 0.000 0.500 0.000
Ni 0.500 0.000 0.000
Ru 0.000 0.000 0.000
O 0.500 0.500 0.500

***

Most stable to least stable, the ends of the list are w and x.

***

w | The following is a DFT calculation (PBE with a Hubbard U) of an optimized crystal structure of NiRuO2.

## Properties
Fermi-level density of states	2.22	states/eV/cell

Lattice parameters (Å, degrees): 6.548 6.548 6.548 24.79 24.79 24.79
Sites, in units of the cell vectors:
Ni 0.000 0.000 0.000
Ru 0.500 0.500 0.500
O 0.100 0.100 0.100
O 0.900 0.900 0.900

***

x | The following is a DFT calculation (PBE with a Hubbard U) of an optimized crystal structure of NiRuO2.

## Properties
Fermi-level density of states	4.52	states/eV/cell

Lattice parameters (Å, degrees): 3.742 3.742 3.742 60.00 60.00 60.00
Sites, in units of the cell vectors:
Ni 0.000 0.000 0.000
Ru 0.500 0.500 0.500
O 0.250 0.250 0.250
O 0.750 0.750 0.750

***

y | The following is a DFT calculation (PBE with a Hubbard U) of an optimized crystal structure of NiRuO2.

## Properties
Fermi-level density of states	3.29	states/eV/cell

Lattice parameters (Å, degrees): 6.350 6.350 6.350 25.65 25.65 25.65
Sites, in units of the cell vectors:
Ni 0.000 0.000 0.000
Ru 0.500 0.500 0.500
O 0.397 0.397 0.397
O 0.603 0.603 0.603

***

Most stable to least stable, the ends of the list are y and x.

***

w | The following is a DFT calculation (PBE with a Hubbard U) of an optimized crystal structure of NiS2O6.

## Properties
Fermi-level density of states	1.14	states/eV/cell

Lattice parameters (Å, degrees): 4.901 4.901 7.894 93.59 93.59 38.18
Sites, in units of the cell vectors:
Ni 0.000 0.000 0.000
S 0.301 0.301 0.261
S 0.699 0.699 0.739
O 0.146 0.146 0.208
O 0.164 0.164 0.655
O 0.392 0.392 0.105
O 0.608 0.608 0.895
O 0.836 0.836 0.345
O 0.854 0.854 0.792

***

x | The following is a DFT calculation (PBE with a Hubbard U) of an optimized crystal structure of NiS2O6.

## Properties
Fermi-level density of states	0.00	states/eV/cell

Lattice parameters (Å, degrees): 6.523 6.523 6.523 45.35 45.35 45.35
Sites, in units of the cell vectors:
Ni 0.000 0.000 0.000
S 0.274 0.274 0.274
S 0.394 0.394 0.394
O 0.000 0.563 0.201
O 0.160 0.357 0.722
O 0.201 0.000 0.563
O 0.357 0.722 0.160
O 0.563 0.201 0.000
O 0.722 0.160 0.357

***

Most stable to least stable, the ends of the list are x and w.

***

w | The following is a DFT calculation (PBE with a Hubbard U) of an optimized crystal structure of Ni2SO.

## Properties
Fermi-level density of states	0.00	states/eV/cell

Lattice parameters (Å, degrees): 6.158 6.158 6.158 133.21 133.21 68.32
Sites, in units of the cell vectors:
Ni 0.064 0.625 0.939
Ni 0.375 0.314 0.439
Ni 0.686 0.125 0.061
Ni 0.875 0.936 0.561
S 0.250 0.750 0.500
S 0.500 0.500 0.000
O 0.000 0.000 0.000
O 0.750 0.250 0.500

***

x | The following is a DFT calculation (PBE with a Hubbard U) of an optimized crystal structure of Ni2SO.

## Properties
Fermi-level density of states	1.54	states/eV/cell

Lattice parameters (Å, degrees): 3.847 3.847 3.847 60.00 60.00 60.00
Sites, in units of the cell vectors:
Ni 0.250 0.250 0.250
Ni 0.750 0.750 0.750
S 0.000 0.000 0.000
O 0.500 0.500 0.500

***

Most stable to least stable, the ends of the list are w and x.

***

w | The following is a DFT calculation (PBE with a Hubbard U) of an optimized crystal structure of NiSO9.

## Properties
Fermi-level density of states	0.04	states/eV/cell

Lattice parameters (Å, degrees): 4.702 6.008 6.154 91.82 94.96 107.21
Sites, in units of the cell vectors:
Ni 0.000 0.000 0.000
S 0.964 0.201 0.494
O 0.031 0.673 0.677
O 0.060 0.308 0.144
O 0.102 0.167 0.708
O 0.238 0.332 0.358
O 0.421 0.007 0.077
O 0.567 0.972 0.914
O 0.783 0.729 0.447
O 0.914 0.679 0.855
O 0.938 0.909 0.342

***

x | The following is a DFT calculation (PBE with a Hubbard U) of an optimized crystal structure of NiSO9.

## Properties
Fermi-level density of states	6.03	states/eV/cell

Lattice parameters (Å, degrees): 5.906 5.906 5.906 98.36 98.36 98.36
Sites, in units of the cell vectors:
Ni 0.000 0.000 0.000
S 0.528 0.528 0.528
O 0.048 0.701 0.968
O 0.081 0.916 0.281
O 0.281 0.081 0.916
O 0.374 0.517 0.695
O 0.517 0.695 0.374
O 0.695 0.374 0.517
O 0.701 0.968 0.048
O 0.916 0.281 0.081
O 0.968 0.048 0.701

***

Most stable to least stable, the ends of the list are w and x.